First-principles (PBE) data for a geometry-optimized YGaCoPt structure, as listed in the Open Quantum Materials Database.

a = 6.479 Å, b = 6.479 Å, c = 6.479 Å
α = 90.00°, β = 90.00°, γ = 90.00°
Positions (direct):
Y: 0.000 0.000 0.000
Y: 0.000 0.500 0.500
Y: 0.500 0.000 0.500
Y: 0.500 0.500 0.000
Ga: 0.000 0.000 0.500
Ga: 0.000 0.500 0.000
Ga: 0.500 0.000 0.000
Ga: 0.500 0.500 0.500
Co: 0.250 0.250 0.750
Co: 0.250 0.750 0.250
Co: 0.750 0.250 0.250
Co: 0.750 0.750 0.750
Pt: 0.250 0.250 0.250
Pt: 0.250 0.750 0.750
Pt: 0.750 0.250 0.750
Pt: 0.750 0.750 0.250

excess energy over the best structure of this formula in the dataset = 0 meV per atom
DFT total energy = -99.03 eV for the cell shown

First-principles (PBE) data for a geometry-optimized Pu3Ga3Co2 structure, as listed in the Open Quantum Materials Database.

a = 15.208 Å, b = 4.345 Å, c = 4.696 Å
α = 90.00°, β = 100.52°, γ = 90.00°
Positions (direct):
Pu: 0.000 0.000 0.000
Pu: 0.158 0.000 0.567
Pu: 0.342 0.500 0.433
Pu: 0.500 0.500 0.000
Pu: 0.658 0.500 0.567
Pu: 0.842 0.000 0.433
Ga: 0.000 0.500 0.500
Ga: 0.139 0.500 0.059
Ga: 0.361 0.000 0.941
Ga: 0.500 0.000 0.500
Ga: 0.639 0.000 0.059
Ga: 0.861 0.500 0.941
Co: 0.214 0.000 0.096
Co: 0.286 0.500 0.904
Co: 0.714 0.500 0.096
Co: 0.786 0.000 0.904

DFT total energy = -137.38 eV for the cell shown

First-principles (PBE) data for a geometry-optimized RbGaCoS3 structure, as listed in the Open Quantum Materials Database.

a = 7.651 Å, b = 7.651 Å, c = 10.510 Å
α = 90.00°, β = 90.00°, γ = 153.02°
Positions (direct):
Rb: 0.236 0.764 0.750
Rb: 0.764 0.236 0.250
Ga: 0.486 0.514 0.250
Ga: 0.514 0.486 0.750
Co: 0.000 0.000 0.000
Co: 0.000 0.000 0.500
S: 0.082 0.918 0.250
S: 0.409 0.591 0.062
S: 0.409 0.591 0.438
S: 0.591 0.409 0.562
S: 0.591 0.409 0.938
S: 0.918 0.082 0.750

DFT total energy = -54.30 eV for the cell shown

First-principles (PBE) data for a geometry-optimized RbGaCoSe3 structure, as listed in the Open Quantum Materials Database.

a = 7.984 Å, b = 7.984 Å, c = 10.528 Å
α = 90.00°, β = 90.00°, γ = 152.57°
Positions (direct):
Rb: 0.246 0.754 0.750
Rb: 0.754 0.246 0.250
Ga: 0.040 0.960 0.250
Ga: 0.960 0.040 0.750
Co: 0.500 0.500 0.000
Co: 0.500 0.500 0.500
Se: 0.108 0.892 0.047
Se: 0.108 0.892 0.453
Se: 0.440 0.560 0.250
Se: 0.560 0.440 0.750
Se: 0.892 0.108 0.547
Se: 0.892 0.108 0.953

DFT total energy = -49.21 eV for the cell shown

Repeat the fourth record exactly.
First-principles (PBE) data for a geometry-optimized RbGaCoSe3 structure, as listed in the Open Quantum Materials Database.

a = 7.984 Å, b = 7.984 Å, c = 10.528 Å
α = 90.00°, β = 90.00°, γ = 152.57°
Positions (direct):
Rb: 0.246 0.754 0.750
Rb: 0.754 0.246 0.250
Ga: 0.040 0.960 0.250
Ga: 0.960 0.040 0.750
Co: 0.500 0.500 0.000
Co: 0.500 0.500 0.500
Se: 0.108 0.892 0.047
Se: 0.108 0.892 0.453
Se: 0.440 0.560 0.250
Se: 0.560 0.440 0.750
Se: 0.892 0.108 0.547
Se: 0.892 0.108 0.953

DFT total energy = -49.21 eV for the cell shown